(1)
# CsSn2I5 | Alexandria | PBE-GGA | optimized geometry
data_CsSn2I5
_cell_length_a 6.4051
_cell_length_b 7.8611
_cell_length_c 16.4397
_cell_angle_alpha 90.00
_cell_angle_beta 90.00
_cell_angle_gamma 114.04
_space_group_name_H-M_alt 'P 1'
_space_group_IT_number 1
_space_group_name_Hall 'P 1'
loop_
_atom_site_label
_atom_site_type_symbol
_atom_site_fract_x
_atom_site_fract_y
_atom_site_fract_z
I1 I 0.6522 0.3044 0.5466
I2 I 0.2037 0.4074 0.7500
I3 I 0.7963 0.5926 0.2500
I4 I 0.9424 0.8847 0.8823
I5 I 0.6522 0.3044 0.9534
I6 I 0.3478 0.6956 0.0466
I7 I 0.0576 0.1153 0.3823
I8 I 0.0576 0.1153 0.1177
I9 I 0.3478 0.6956 0.4534
I10 I 0.9424 0.8847 0.6177
Sn1 Sn 0.8550 0.7099 0.4397
Sn2 Sn 0.8550 0.7099 0.0603
Sn3 Sn 0.1450 0.2901 0.5603
Sn4 Sn 0.1450 0.2901 0.9397
Cs1 Cs 0.5015 0.0030 0.2500
Cs2 Cs 0.4985 0.9970 0.7500
# * spin magnetization: 0.0 Bohr magnetons per cell
# * symmetry: No. 63
# * formation energy from raw total energies: -0.771 eV per atom
# * excess energy over the best structure of this formula in the dataset: 0 meV per atom
# * total energy: -0.209 Ry per atom

(2)
# Cs2SnI | Alexandria | PBE-GGA | optimized geometry
data_Cs2SnI
_cell_length_a 6.7294
_cell_length_b 6.7294
_cell_length_c 6.7294
_cell_angle_alpha 60.00
_cell_angle_beta 60.00
_cell_angle_gamma 60.00
_space_group_name_H-M_alt 'P 1'
_space_group_IT_number 1
_space_group_name_Hall 'P 1'
loop_
_atom_site_label
_atom_site_type_symbol
_atom_site_fract_x
_atom_site_fract_y
_atom_site_fract_z
I1 I 0.5000 0.5000 0.5000
Sn1 Sn 0.0000 0.0000 0.0000
Cs1 Cs 0.2500 0.2500 0.2500
Cs2 Cs 0.7500 0.7500 0.7500
# * spin magnetization: 3.0 Bohr magnetons per cell
# * symmetry: No. 225
# * formation energy from raw total energies: -0.498 eV per atom
# * excess energy over the best structure of this formula in the dataset: 0 meV per atom
# * total energy: -0.170 Ry per atom

(3)
# Cs4SnI5 | Alexandria | PBE-GGA | optimized geometry
data_Cs4SnI5
_cell_length_a 7.8922
_cell_length_b 9.2863
_cell_length_c 9.2863
_cell_angle_alpha 79.60
_cell_angle_beta 64.85
_cell_angle_gamma 64.85
_space_group_name_H-M_alt 'P 1'
_space_group_IT_number 1
_space_group_name_Hall 'P 1'
loop_
_atom_site_label
_atom_site_type_symbol
_atom_site_fract_x
_atom_site_fract_y
_atom_site_fract_z
I1 I 0.4880 0.0000 0.0000
I2 I 0.7343 0.1807 0.3553
I3 I 0.0896 0.6447 0.1807
I4 I 0.2703 0.8193 0.6447
I5 I 0.9150 0.3553 0.8193
Sn1 Sn 0.9962 0.0000 0.0000
Cs1 Cs 0.7993 0.7965 0.6132
Cs2 Cs 0.5959 0.6132 0.2035
Cs3 Cs 0.2091 0.2035 0.3868
Cs4 Cs 0.4125 0.3868 0.7965
# * spin magnetization: 0.3 Bohr magnetons per cell
# * symmetry: No. 79
# * formation energy from raw total energies: -1.167 eV per atom
# * total energy: -0.197 Ry per atom

(4)
# Cs2Sn2I5 | Alexandria | PBE-GGA | optimized geometry
data_Cs2Sn2I5
_cell_length_a 6.3543
_cell_length_b 6.3543
_cell_length_c 10.0613
_cell_angle_alpha 90.00
_cell_angle_beta 90.00
_cell_angle_gamma 90.01
_space_group_name_H-M_alt 'P 1'
_space_group_IT_number 1
_space_group_name_Hall 'P 1'
loop_
_atom_site_label
_atom_site_type_symbol
_atom_site_fract_x
_atom_site_fract_y
_atom_site_fract_z
I1 I 0.5390 0.5390 0.5000
I2 I 0.0386 0.5374 0.7774
I3 I 0.0386 0.5374 0.2226
I4 I 0.5374 0.0386 0.2226
I5 I 0.5374 0.0386 0.7774
Cs1 Cs 0.0370 0.0370 0.0000
Cs2 Cs 0.0358 0.0358 0.5000
Sn1 Sn 0.5361 0.5361 0.1804
Sn2 Sn 0.5361 0.5361 0.8196
# * spin magnetization: 0.0 Bohr magnetons per cell
# * symmetry: No. 38
# * formation energy from raw total energies: -0.871 eV per atom
# * excess energy over the best structure of this formula in the dataset: 0 meV per atom
# * total energy: -0.207 Ry per atom

(5)
# Cs3SnI7 | Alexandria | PBE-GGA | optimized geometry
data_Cs3SnI7
_cell_length_a 8.3332
_cell_length_b 11.7360
_cell_length_c 11.7360
_cell_angle_alpha 90.00
_cell_angle_beta 90.00
_cell_angle_gamma 90.00
_space_group_name_H-M_alt 'P 1'
_space_group_IT_number 1
_space_group_name_Hall 'P 1'
loop_
_atom_site_label
_atom_site_type_symbol
_atom_site_fract_x
_atom_site_fract_y
_atom_site_fract_z
I1 I 0.0000 0.8267 0.3267
I2 I 0.0000 0.6733 0.8267
I3 I 0.7477 0.3777 0.8777
I4 I 0.2523 0.1223 0.3777
I5 I 0.7477 0.8777 0.6223
I6 I 0.5000 0.0000 0.0000
I7 I 0.2523 0.8777 0.6223
I8 I 0.0000 0.3267 0.1733
I9 I 0.2523 0.6223 0.1223
I10 I 0.7477 0.6223 0.1223
I11 I 0.0000 0.1733 0.6733
I12 I 0.5000 0.5000 0.5000
I13 I 0.2523 0.3777 0.8777
I14 I 0.7477 0.1223 0.3777
Sn1 Sn 0.0000 0.0000 0.5000
Sn2 Sn 0.0000 0.5000 0.0000
Cs1 Cs 0.5000 0.6707 0.8293
Cs2 Cs 0.0000 0.0000 0.0000
Cs3 Cs 0.5000 0.1707 0.6707
Cs4 Cs 0.5000 0.3293 0.1707
Cs5 Cs 0.0000 0.5000 0.5000
Cs6 Cs 0.5000 0.8293 0.3293
# * spin magnetization: 0.4 Bohr magnetons per cell
# * symmetry: No. 127
# * formation energy from raw total energies: -0.980 eV per atom
# * total energy: -0.188 Ry per atom

(6)
# Cs2SnI | Alexandria | PBE-GGA | optimized geometry
data_Cs2SnI
_cell_length_a 9.0879
_cell_length_b 9.0879
_cell_length_c 9.0879
_cell_angle_alpha 111.57
_cell_angle_beta 111.57
_cell_angle_gamma 105.34
_space_group_name_H-M_alt 'P 1'
_space_group_IT_number 1
_space_group_name_Hall 'P 1'
loop_
_atom_site_label
_atom_site_type_symbol
_atom_site_fract_x
_atom_site_fract_y
_atom_site_fract_z
Cs1 Cs 0.3587 0.3750 0.4837
Cs2 Cs 0.6250 0.1087 0.9837
Cs3 Cs 0.1250 0.6413 0.0163
Cs4 Cs 0.8913 0.8750 0.5163
I1 I 0.2500 0.7500 0.5000
I2 I 0.0000 0.0000 0.0000
Sn1 Sn 0.7500 0.2500 0.5000
Sn2 Sn 0.5000 0.5000 0.0000
# * spin magnetization: 6.0 Bohr magnetons per cell
# * symmetry: No. 122
# * formation energy from raw total energies: -0.433 eV per atom
# * excess energy over the best structure of this formula in the dataset: 66 meV per atom
# * total energy: -0.165 Ry per atom

(7)
# CsSn6I12 | Alexandria | PBE-GGA | optimized geometry
data_CsSn6I12
_cell_length_a 10.3005
_cell_length_b 10.3005
_cell_length_c 10.3005
_cell_angle_alpha 109.47
_cell_angle_beta 109.47
_cell_angle_gamma 109.47
_space_group_name_H-M_alt 'P 1'
_space_group_IT_number 1
_space_group_name_Hall 'P 1'
loop_
_atom_site_label
_atom_site_type_symbol
_atom_site_fract_x
_atom_site_fract_y
_atom_site_fract_z
Sn1 Sn 0.5000 0.1362 0.6362
Sn2 Sn 0.3638 0.5000 0.8638
Sn3 Sn 0.1362 0.6362 0.5000
Sn4 Sn 0.8638 0.3638 0.5000
Sn5 Sn 0.6362 0.5000 0.1362
Sn6 Sn 0.5000 0.8638 0.3638
I1 I 0.6799 0.5124 0.8326
I2 I 0.1674 0.3201 0.4876
I3 I 0.5124 0.8326 0.6799
I4 I 0.8473 0.1674 0.6799
I5 I 0.4876 0.1674 0.3201
I6 I 0.3201 0.4876 0.1674
I7 I 0.8326 0.6799 0.5124
I8 I 0.8326 0.3201 0.1527
I9 I 0.3201 0.1527 0.8326
I10 I 0.1527 0.8326 0.3201
I11 I 0.1674 0.6799 0.8473
I12 I 0.6799 0.8473 0.1674
Cs1 Cs 0.0000 0.0000 0.0000
# * spin magnetization: 0.0 Bohr magnetons per cell
# * symmetry: No. 204
# * formation energy from raw total energies: -0.474 eV per atom
# * total energy: -0.203 Ry per atom

(8)
# CsSn4I8 | Alexandria | PBE-GGA | optimized geometry
data_CsSn4I8
_cell_length_a 9.9449
_cell_length_b 9.9449
_cell_length_c 9.9449
_cell_angle_alpha 60.00
_cell_angle_beta 60.00
_cell_angle_gamma 60.00
_space_group_name_H-M_alt 'P 1'
_space_group_IT_number 1
_space_group_name_Hall 'P 1'
loop_
_atom_site_label
_atom_site_type_symbol
_atom_site_fract_x
_atom_site_fract_y
_atom_site_fract_z
Sn1 Sn 0.8875 0.3708 0.3708
Sn2 Sn 0.3708 0.3708 0.8875
Sn3 Sn 0.3708 0.8875 0.3708
Sn4 Sn 0.3708 0.3708 0.3708
I1 I 0.1397 0.1397 0.1397
I2 I 0.5809 0.1397 0.1397
I3 I 0.6030 0.1910 0.6030
I4 I 0.1910 0.6030 0.6030
I5 I 0.1397 0.1397 0.5809
I6 I 0.1397 0.5809 0.1397
I7 I 0.6030 0.6030 0.6030
I8 I 0.6030 0.6030 0.1910
Cs1 Cs 0.7500 0.7500 0.7500
# * spin magnetization: 0.0 Bohr magnetons per cell
# * symmetry: No. 216
# * formation energy from raw total energies: -0.527 eV per atom
# * excess energy over the best structure of this formula in the dataset: 37 meV per atom
# * total energy: -0.204 Ry per atom

(9)
# CsSnI3 | Alexandria | PBE-GGA | optimized geometry
data_CsSnI3
_cell_length_a 4.8156
_cell_length_b 10.7891
_cell_length_c 18.0743
_cell_angle_alpha 90.00
_cell_angle_beta 90.00
_cell_angle_gamma 90.00
_space_group_name_H-M_alt 'P 1'
_space_group_IT_number 1
_space_group_name_Hall 'P 1'
loop_
_atom_site_label
_atom_site_type_symbol
_atom_site_fract_x
_atom_site_fract_y
_atom_site_fract_z
I1 I 0.7500 0.6662 0.0000
I2 I 0.2500 0.4752 0.3892
I3 I 0.2500 0.2083 0.7092
I4 I 0.2500 0.8338 0.5000
I5 I 0.7500 0.2917 0.2092
I6 I 0.2500 0.9752 0.1108
I7 I 0.7500 0.0248 0.8892
I8 I 0.7500 0.5248 0.6108
I9 I 0.2500 0.3338 0.0000
I10 I 0.2500 0.7083 0.7908
I11 I 0.7500 0.1662 0.5000
I12 I 0.7500 0.7917 0.2908
Cs1 Cs 0.2500 0.5792 0.1720
Cs2 Cs 0.7500 0.9208 0.6720
Cs3 Cs 0.2500 0.0792 0.3280
Cs4 Cs 0.7500 0.4208 0.8280
Sn1 Sn 0.7500 0.1603 0.0599
Sn2 Sn 0.2500 0.3397 0.5599
Sn3 Sn 0.2500 0.8397 0.9401
Sn4 Sn 0.7500 0.6603 0.4401
# * spin magnetization: 0.0 Bohr magnetons per cell
# * symmetry: No. 62
# * formation energy from raw total energies: -0.947 eV per atom
# * total energy: -0.209 Ry per atom

(10)
# CsSnI2 | Alexandria | PBE-GGA | optimized geometry
data_CsSnI2
_cell_length_a 7.1832
_cell_length_b 7.1832
_cell_length_c 10.9104
_cell_angle_alpha 70.78
_cell_angle_beta 70.78
_cell_angle_gamma 90.00
_space_group_name_H-M_alt 'P 1'
_space_group_IT_number 1
_space_group_name_Hall 'P 1'
loop_
_atom_site_label
_atom_site_type_symbol
_atom_site_fract_x
_atom_site_fract_y
_atom_site_fract_z
I1 I 0.8750 0.7942 0.7500
I2 I 0.3750 0.4558 0.7500
I3 I 0.5442 0.1250 0.2500
I4 I 0.2058 0.6250 0.2500
Sn1 Sn 0.2500 0.7500 0.5000
Sn2 Sn 0.5000 0.5000 0.0000
Cs1 Cs 0.0000 0.0000 0.0000
Cs2 Cs 0.7500 0.2500 0.5000
# * spin magnetization: 2.0 Bohr magnetons per cell
# * symmetry: No. 122
# * formation energy from raw total energies: -0.601 eV per atom
# * excess energy over the best structure of this formula in the dataset: 0 meV per atom
# * total energy: -0.190 Ry per atom

(11)
# CsSnI5 | Alexandria | PBE-GGA | optimized geometry
data_CsSnI5
_cell_length_a 7.1943
_cell_length_b 9.1140
_cell_length_c 9.1140
_cell_angle_alpha 79.83
_cell_angle_beta 55.00
_cell_angle_gamma 55.00
_space_group_name_H-M_alt 'P 1'
_space_group_IT_number 1
_space_group_name_Hall 'P 1'
loop_
_atom_site_label
_atom_site_type_symbol
_atom_site_fract_x
_atom_site_fract_y
_atom_site_fract_z
I1 I 0.3360 0.7805 0.3900
I2 I 0.4272 0.7883 0.7883
I3 I 0.8802 0.2196 0.2196
I4 I 0.3360 0.3900 0.7805
I5 I 0.1925 0.3704 0.3704
Sn1 Sn 0.6507 0.5065 0.5065
Cs1 Cs 0.7081 0.9447 0.9447
# * spin magnetization: 0.0 Bohr magnetons per cell
# * symmetry: No. 8
# * formation energy from raw total energies: -0.667 eV per atom
# * total energy: -0.181 Ry per atom

(12)
# Cs3SnI8 | Alexandria | PBE-GGA | optimized geometry
data_Cs3SnI8
_cell_length_a 10.0362
_cell_length_b 11.7819
_cell_length_c 11.7819
_cell_angle_alpha 120.00
_cell_angle_beta 90.00
_cell_angle_gamma 90.00
_space_group_name_H-M_alt 'P 1'
_space_group_IT_number 1
_space_group_name_Hall 'P 1'
loop_
_atom_site_label
_atom_site_type_symbol
_atom_site_fract_x
_atom_site_fract_y
_atom_site_fract_z
I1 I 0.3117 0.2160 0.7840
I2 I 0.9831 0.4516 0.5484
I3 I 0.4651 0.0000 0.0000
I4 I 0.9831 0.0968 0.5484
I5 I 0.1426 0.6667 0.3333
I6 I 0.4831 0.9032 0.4516
I7 I 0.3117 0.5681 0.7840
I8 I 0.9651 0.0000 0.0000
I9 I 0.6426 0.3333 0.6667
I10 I 0.3117 0.2160 0.4319
I11 I 0.4831 0.5484 0.4516
I12 I 0.8117 0.7840 0.2160
I13 I 0.4831 0.5484 0.0968
I14 I 0.9831 0.4516 0.9032
I15 I 0.8117 0.7840 0.5681
I16 I 0.8117 0.4319 0.2160
Sn1 Sn 0.6403 0.6667 0.3333
Sn2 Sn 0.1403 0.3333 0.6667
Cs1 Cs 0.2135 0.3007 0.1504
Cs2 Cs 0.7135 0.1504 0.3007
Cs3 Cs 0.7135 0.6993 0.8496
Cs4 Cs 0.2135 0.8496 0.6993
Cs5 Cs 0.2135 0.8496 0.1504
Cs6 Cs 0.7135 0.1504 0.8496
# * spin magnetization: 2.2 Bohr magnetons per cell
# * symmetry: No. 186
# * formation energy from raw total energies: -0.849 eV per atom
# * total energy: -0.179 Ry per atom